RbNaLaS2 | Alexandria via LeMat-Bulk | PBE-GGA | relaxed; uncorrected formation energy = -0.12 eV/atom
1.0
5.735 0.000 0.000
0.000 5.735 0.000
0.000 0.000 4.816
Rb Na La S
1 1 1 2
Cartesian
0.000 0.000 0.000
0.000 0.000 2.408
2.867 2.867 2.408
0.000 2.867 0.000
2.867 0.000 0.000

RbNaLa2Se4 | Alexandria via LeMat-Bulk | PBE-GGA | relaxed; uncorrected formation energy = -1.45 eV/atom
1.0
4.319 -7.774 0.000
4.319 7.774 0.000
-0.791 0.000 7.874
Rb Na La Se
2 2 4 8
Cartesian
0.000 0.000 0.000
-0.395 0.000 3.937
2.160 3.887 0.000
1.764 -3.887 3.937
1.764 3.887 3.937
2.160 -3.887 0.000
4.319 0.000 0.000
3.924 0.000 3.937
2.311 1.798 2.005
1.933 1.800 5.936
1.915 -1.798 5.941
2.328 -1.800 1.999
5.519 1.800 5.875
5.932 1.798 1.932
5.915 -1.800 1.938
5.537 -1.798 5.869

RbNaLa2Tc | Alexandria via LeMat-Bulk | PBE-GGA | relaxed; formation energy from the elements = 347 meV/atom
1.0
5.368 0.000 0.000
0.000 5.368 0.000
0.000 0.000 7.116
Rb Na La Tc
1 1 2 1
Cartesian
0.000 0.000 0.000
2.684 2.684 0.000
0.000 2.684 3.558
2.684 0.000 3.558
0.000 0.000 3.558

Rb2NaLaZn | Alexandria via LeMat-Bulk | PBE-GGA | relaxed; formation energy from the elements = 739 meV/atom
1.0
6.108 0.000 0.000
0.000 6.108 0.000
0.000 0.000 5.194
Rb Na La Zn
2 1 1 1
Cartesian
0.000 3.054 0.000
3.054 0.000 0.000
0.000 0.000 0.000
3.054 3.054 2.597
0.000 0.000 2.597

NaLa2Re | Alexandria via LeMat-Bulk | PBE-GGA | relaxed; formation energy from the elements = 361 meV/atom; offset from the most stable computed form = 0 meV per atom
1.0
7.412 0.000 0.000
0.000 7.412 0.000
0.000 0.000 7.412
Na La Re
4 8 4
Cartesian
0.000 0.000 0.000
0.000 3.706 3.706
3.706 0.000 3.706
3.706 3.706 0.000
1.853 1.853 1.853
1.853 1.853 5.559
1.853 5.559 1.853
1.853 5.559 5.559
5.559 1.853 1.853
5.559 1.853 5.559
5.559 5.559 1.853
5.559 5.559 5.559
0.000 0.000 3.706
0.000 3.706 0.000
3.706 0.000 0.000
3.706 3.706 3.706

NaLa2Re | Alexandria via LeMat-Bulk | PBE-GGA | relaxed; formation energy from the elements = 570 meV/atom; offset from the most stable computed form = 209 meV per atom
1.0
8.468 0.000 0.000
0.000 8.468 0.000
0.000 0.000 7.099
Na La Re
4 8 4
Cartesian
0.000 0.000 0.000
0.000 4.234 1.775
4.234 0.000 5.324
4.234 4.234 3.550
1.446 2.117 4.437
2.117 5.681 6.212
2.117 7.022 2.662
2.788 2.117 0.887
5.681 6.351 0.887
6.351 1.446 2.662
6.351 2.788 6.212
7.022 6.351 4.437
0.000 0.000 3.550
0.000 4.234 5.324
4.234 0.000 1.775
4.234 4.234 0.000

NaLaRe2Si | Alexandria via LeMat-Bulk | PBE-GGA | relaxed; uncorrected formation energy = 2.33 eV/atom
1.0
4.717 0.000 0.000
0.000 4.717 0.000
0.000 0.000 5.013
Na La Re Si
1 1 2 1
Cartesian
0.000 0.000 0.000
0.000 0.000 2.506
0.000 2.358 0.000
2.358 0.000 0.000
2.358 2.358 2.506

Na3LaRh | Alexandria via LeMat-Bulk | PBE-GGA | relaxed; formation energy from the elements = -87 meV/atom; offset from the most stable computed form = 47 meV per atom
1.0
4.100 0.000 0.000
0.000 4.100 0.000
0.000 0.000 8.671
Na La Rh
3 1 1
Cartesian
0.000 0.000 0.000
0.000 2.050 5.583
2.050 0.000 5.583
2.050 2.050 2.535
0.000 0.000 3.073

Na3LaRh | Alexandria via LeMat-Bulk | PBE-GGA | relaxed; formation energy from the elements = 1706 meV/atom; offset from the most stable computed form = 1840 meV per atom
1.0
5.990 0.000 0.000
0.000 5.990 0.000
0.000 0.000 5.990
Na La Rh
3 1 1
Cartesian
0.000 0.000 2.995
0.000 2.995 0.000
2.995 0.000 0.000
0.000 0.000 0.000
2.995 2.995 2.995

NaLaRh3 | Alexandria via LeMat-Bulk | PBE-GGA | relaxed; formation energy from the elements = 745 meV/atom; offset from the most stable computed form = 81 meV per atom
1.0
4.978 0.000 0.000
0.000 4.978 0.000
0.000 0.000 4.978
Na La Rh
1 1 3
Cartesian
0.000 0.000 0.000
2.489 2.489 2.489
0.000 2.489 2.489
2.489 0.000 2.489
2.489 2.489 0.000

NaLa2Rh | Alexandria via LeMat-Bulk | PBE-GGA | relaxed; formation energy from the elements = -93 meV/atom; offset from the most stable computed form = 308 meV per atom
1.0
8.459 0.000 0.000
0.000 8.459 0.000
0.000 0.000 7.061
Na La Rh
4 8 4
Cartesian
0.000 0.000 0.000
0.000 4.229 1.765
4.229 0.000 5.296
4.229 4.229 3.530
1.538 2.115 4.413
2.115 5.767 6.178
2.115 6.921 2.648
2.692 2.115 0.883
5.767 6.344 0.883
6.344 1.538 2.648
6.344 2.692 6.178
6.921 6.344 4.413
0.000 0.000 3.530
0.000 4.229 5.296
4.229 0.000 1.765
4.229 4.229 0.000

Na3LaRh | Alexandria via LeMat-Bulk | PBE-GGA | relaxed; formation energy from the elements = -99 meV/atom; offset from the most stable computed form = 35 meV per atom
1.0
5.938 0.000 0.000
-0.605 6.705 0.000
-1.468 -2.178 7.405
Na La Rh
6 2 2
Cartesian
0.000 0.000 0.000
-1.367 1.130 6.078
0.673 -0.359 3.351
2.132 4.840 0.598
1.386 -0.725 6.693
3.641 -0.357 3.330
1.848 3.074 4.390
4.861 2.913 2.297
-1.074 3.798 4.603
1.840 2.182 2.086